The following is a DFT calculation (PBE with a Hubbard U) of an optimized crystal structure of HoV2NiO8.

SG ... P-3m1
Uncorrected energy ... -7.0467 eV/atom

a b c (Å): 5.7546 5.7546 5.8284
angles (deg): 90.00 90.00 120.00
Atoms (fractional coordinates):
Ho1 0.0000 0.0000 0.0000
V1 0.3333 0.6667 0.6423
V2 0.6667 0.3333 0.3577
Ni1 0.0000 0.0000 0.5000
O1 0.1613 0.3226 0.7293
O2 0.1613 0.8387 0.7293
O3 0.3226 0.1613 0.2707
O4 0.3333 0.6667 0.3598
O5 0.6667 0.3333 0.6402
O6 0.6774 0.8387 0.7293
O7 0.8387 0.1613 0.2707
O8 0.8387 0.6774 0.2707